Below is a relaxed structure of Sn3RhSe, with properties calculated at the PBE level.

Structure (extended XYZ):
```
5
Lattice="-1.626 3.359 -3.819 -4.490 -2.832 -0.579 -2.390 3.035 3.686" Properties=species:S:1:pos:R:3 pbc="T T T"
Rh -4.252 1.781 -0.356
Sn -2.245 -1.416 -0.290
Sn -1.195 1.517 1.843
Sn -0.813 1.679 -1.909
Se 0.000 0.000 0.000
```

## Properties
* formation energy from raw total energies: 0.90 eV per atom
* E above lowest polymorph: 5.27 eV per formula unit
* space group: No. 221


Below is a relaxed structure of Y2MgBe3Pt4, with properties calculated at the PBE level.

Structure (extended XYZ):
```
10
Lattice="4.020 0.000 0.000 0.000 4.020 0.000 0.000 0.000 10.215" Properties=species:S:1:pos:R:3 pbc="T T T"
Y 2.010 0.000 2.393
Y 0.000 2.010 7.822
Mg 2.010 2.010 5.108
Be 0.000 0.000 5.108
Be 2.010 0.000 9.037
Be 0.000 2.010 1.178
Pt 2.010 2.010 0.000
Pt 0.000 0.000 0.000
Pt 2.010 0.000 6.708
Pt 0.000 2.010 3.507
```

## Properties
* formation enthalpy at 0 K: -0.895 eV per atom
* space group: No. 115


Below is a relaxed structure of LiTiBr4, with properties calculated at the PBE level.

Structure (extended XYZ):
```
6
Lattice="3.780 0.000 0.000 0.000 6.843 -0.050 0.000 -0.080 6.695" Properties=species:S:1:pos:R:3 pbc="T T T"
Li 0.000 0.000 0.000
Ti 1.890 -0.040 3.348
Br 0.000 5.267 4.321
Br 1.890 1.384 5.453
Br 1.890 5.380 1.192
Br 0.000 1.497 2.325
```

## Properties
* formation energy from raw total energies: -1.29 eV per atom
* E above lowest polymorph: 0.00 eV per formula unit
* space group: No. 10


Below is a relaxed structure of TaTc, with properties calculated at the PBE level.

Structure (extended XYZ):
```
2
Lattice="3.030 0.000 0.000 -1.515 2.624 0.000 0.000 0.000 4.189" Properties=species:S:1:pos:R:3 pbc="T T T"
Ta 0.000 0.000 0.000
Tc 0.000 1.750 2.094
```

## Properties
* formation enthalpy at 0 K: 0.130 eV per atom
* space group: No. 187


Below is a relaxed structure of GaPRh, with properties calculated at the PBE level.

Structure (extended XYZ):
```
12
Lattice="-4.143 -2.768 -3.537 -0.282 -4.908 4.172 -3.424 5.244 -0.094" Properties=species:S:1:pos:R:3 pbc="T T T"
Ga -4.087 -1.428 2.206
Ga -3.762 -1.003 -1.665
Ga -1.543 -3.495 2.964
Ga -6.306 1.063 -2.422
P -2.215 -1.988 0.019
P -5.634 -0.443 0.522
P -5.094 -3.848 -0.431
P -2.755 1.417 0.972
Rh -6.821 -2.272 -0.423
Rh -3.324 -3.702 1.148
Rh -1.028 -0.159 0.964
Rh -4.525 1.271 -0.607
```

## Properties
* formation enthalpy at 0 K: -0.464 eV per atom
* E above lowest polymorph: 0.00 eV per formula unit
* space group: No. 14


Below is a relaxed structure of Li3BiOs, with properties calculated at the PBE level.

Structure (extended XYZ):
```
5
Lattice="4.671 0.000 0.000 0.000 4.671 0.000 0.000 0.000 4.671" Properties=species:S:1:pos:R:3 pbc="T T T"
Os 0.000 0.000 0.000
Bi 2.335 2.335 2.335
Li 0.000 2.335 0.000
Li 0.000 0.000 2.335
Li 2.335 0.000 0.000
```

## Properties
* formation enthalpy at 0 K: 0.804 eV per atom
* E above lowest polymorph: 0.00 eV per formula unit
* space group: No. 221


Below is a relaxed structure of CaMg2Ni, with properties calculated at the PBE level.

Structure (extended XYZ):
```
4
Lattice="5.630 -0.233 0.000 -2.470 5.064 0.000 0.000 0.000 3.124" Properties=species:S:1:pos:R:3 pbc="T T T"
Ca -1.235 2.532 1.562
Mg 0.000 0.000 0.000
Mg 1.580 2.416 0.000
Ni 2.815 -0.117 1.562
```

## Properties
* formation enthalpy at 0 K: 0.269 eV per atom
* space group: No. 65


Below is a relaxed structure of RbRuN3, with properties calculated at the PBE level.

Structure (extended XYZ):
```
5
Lattice="-3.087 -2.394 -1.546 1.238 -3.179 2.452 -2.567 1.346 3.041" Properties=species:S:1:pos:R:3 pbc="T T T"
Ru -2.208 -2.113 1.974
Rb 0.000 0.000 0.000
N 0.619 -1.590 1.226
N -1.283 0.673 1.521
N -1.544 -1.197 -0.773
```

## Properties
* formation energy from raw total energies: 3.87 eV per atom
* space group: No. 221


Below is a relaxed structure of La4AlMo, with properties calculated at the PBE level.

Structure (extended XYZ):
```
6
Lattice="0.000 4.485 4.485 4.485 0.000 4.485 4.485 4.485 0.000" Properties=species:S:1:pos:R:3 pbc="T T T"
La 3.368 5.602 5.602
La 5.602 5.602 3.368
La 5.602 3.368 5.602
La 3.368 3.368 3.368
Al 0.000 0.000 0.000
Mo 6.727 6.727 6.727
```

## Properties
* formation enthalpy at 0 K: 0.803 eV per atom
* space group: No. 216


Below is a relaxed structure of La2TbY5Th, with properties calculated at the PBE level.

Structure (extended XYZ):
```
18
Lattice="-8.448 0.496 2.161 0.050 -8.468 2.138 6.195 5.858 5.221" Properties=species:S:1:pos:R:3 pbc="T T T"
La -0.966 -3.189 1.072
La -5.203 -0.682 1.582
La -3.195 -7.291 2.717
La -7.432 -4.783 3.227
Tb 1.023 -3.298 4.754
Tb -3.226 1.184 4.766
Y -6.046 -1.488 4.385
Y -0.980 3.312 5.440
Y 3.843 -0.626 5.135
Y 3.241 3.642 4.214
Y -0.378 -0.956 6.361
Y -5.444 -5.756 5.306
Y -1.826 -1.158 3.159
Y -1.224 -5.426 4.080
Y -4.199 -3.986 2.149
Y 0.000 0.000 0.000
Th 0.998 0.936 3.685
Th -3.201 -3.050 5.835
```

## Properties
* formation enthalpy at 0 K: 0.276 eV per atom
* space group: No. 140


Below is a relaxed structure of BeGa5Co6, with properties calculated at the PBE level.

Structure (extended XYZ):
```
12
Lattice="3.809 -0.023 1.269 0.030 5.683 0.010 0.000 -0.011 6.348" Properties=species:S:1:pos:R:3 pbc="T T T"
Be 0.000 0.000 0.000
Co 3.209 4.270 3.146
Co 3.194 1.367 3.141
Co 1.912 1.374 0.637
Co 1.927 4.286 0.642
Co 0.646 4.282 4.487
Co 0.631 1.379 4.482
Ga 2.558 2.819 5.073
Ga 1.282 -0.011 2.504
Ga 0.015 2.841 0.005
Ga 2.528 -0.023 5.114
Ga 1.282 2.830 2.554
```

## Properties
* formation enthalpy at 0 K: -0.284 eV per atom
* space group: No. 65


Below is a relaxed structure of Dy2Cu3Ge4Ir, with properties calculated at the PBE level.

Structure (extended XYZ):
```
10
Lattice="4.112 0.000 0.000 0.000 4.112 0.000 0.000 0.000 10.260" Properties=species:S:1:pos:R:3 pbc="T T T"
Dy 2.056 0.000 2.596
Dy 0.000 2.056 7.664
Cu 0.000 0.000 5.130
Cu 2.056 0.000 8.878
Cu 0.000 2.056 1.382
Ge 2.056 2.056 0.000
Ge 0.000 0.000 0.000
Ge 2.056 0.000 6.519
Ge 0.000 2.056 3.741
Ir 2.056 2.056 5.130
```

## Properties
* formation enthalpy at 0 K: -0.514 eV per atom
* space group: No. 115


Below is a relaxed structure of TaZnB3, with properties calculated at the PBE level.

Structure (extended XYZ):
```
5
Lattice="-3.003 -0.051 3.053 -3.025 -0.524 -2.985 0.409 -4.250 0.332" Properties=species:S:1:pos:R:3 pbc="T T T"
Zn -2.809 -2.412 0.200
B -1.513 -0.262 -1.492
B 0.205 -2.125 0.166
B -1.501 -0.025 1.526
Ta 0.000 0.000 0.000
```

## Properties
* formation enthalpy at 0 K: 1.542 eV per atom
* E above lowest polymorph: 0.00 eV per formula unit
* space group: No. 221


Below is a relaxed structure of AgC2, with properties calculated at the PBE level.

Structure (extended XYZ):
```
6
Lattice="-0.070 5.049 -0.877 -2.330 -4.323 1.468 1.719 1.019 5.728" Properties=species:S:1:pos:R:3 pbc="T T T"
Ag 0.655 3.474 4.004
Ag -1.336 -1.729 2.315
C 1.166 5.595 3.473
C 0.144 1.354 4.535
C -0.825 0.392 1.784
C -1.847 -3.849 2.845
```

## Properties
* formation enthalpy at 0 K: 1.015 eV per atom
* E above lowest polymorph: 2.05 eV per formula unit
* space group: No. 63


Below is a relaxed structure of Sc2MoRh9, with properties calculated at the PBE level.

Structure (extended XYZ):
```
12
Lattice="3.899 0.000 0.000 0.000 3.899 0.000 0.000 0.000 11.789" Properties=species:S:1:pos:R:3 pbc="T T T"
Sc 0.000 0.000 3.932
Sc 0.000 0.000 7.857
Mo 0.000 0.000 0.000
Rh 1.949 1.949 0.000
Rh 1.949 1.949 3.893
Rh 1.949 1.949 7.896
Rh 1.949 0.000 1.865
Rh 1.949 0.000 5.894
Rh 1.949 0.000 9.924
Rh 0.000 1.949 1.865
Rh 0.000 1.949 5.894
Rh 0.000 1.949 9.924
```

## Properties
* formation enthalpy at 0 K: -0.495 eV per atom
* space group: No. 123


Below is a relaxed structure of Dy2PuIr2, with properties calculated at the PBE level.

Structure (extended XYZ):
```
5
Lattice="3.902 0.004 1.660 1.332 5.142 2.273 -0.147 0.398 5.762" Properties=species:S:1:pos:R:3 pbc="T T T"
Dy 1.339 1.298 4.974
Dy 3.748 4.246 4.721
Pu 2.617 2.573 1.966
Ir 4.158 1.257 3.766
Ir 0.930 4.287 5.929
```

## Properties
* formation enthalpy at 0 K: -0.644 eV per atom
* E above lowest polymorph: 0.00 eV per formula unit
* space group: No. 71


Below is a relaxed structure of Re2Pt, with properties calculated at the PBE level.

Structure (extended XYZ):
```
3
Lattice="-2.415 -1.367 3.609 -3.348 -1.373 -2.761 1.123 -2.412 -0.162" Properties=species:S:1:pos:R:3 pbc="T T T"
Pt 0.000 0.000 0.000
Re -1.113 -1.893 -1.462
Re -0.646 -1.890 1.723
```

## Properties
* formation enthalpy at 0 K: 1.219 eV per atom
* E above lowest polymorph: 3.92 eV per formula unit
* space group: No. 123


Below is a relaxed structure of LiSnRu, with properties calculated at the PBE level.

Structure (extended XYZ):
```
3
Lattice="2.985 0.000 0.000 0.000 4.256 0.000 0.000 -2.128 3.686" Properties=species:S:1:pos:R:3 pbc="T T T"
Ru 1.894 0.000 2.457
Sn 0.150 0.000 0.000
Li 0.942 2.128 1.229
```

## Properties
* formation enthalpy at 0 K: -0.070 eV per atom
* space group: No. 156


Below is a relaxed structure of YTiTe, with properties calculated at the PBE level.

Structure (extended XYZ):
```
6
Lattice="4.911 0.000 0.000 0.000 3.869 0.000 -2.456 -1.934 8.173" Properties=species:S:1:pos:R:3 pbc="T T T"
Y 2.456 0.000 2.496
Y 0.000 1.934 5.677
Ti 3.633 1.934 0.000
Ti 1.279 1.934 0.000
Te 0.000 1.934 2.595
Te 2.456 0.000 5.578
```

## Properties
* formation energy from raw total energies: -0.47 eV per atom
* space group: No. 71


Below is a relaxed structure of KZn2Pt2, with properties calculated at the PBE level.

Structure (extended XYZ):
```
10
Lattice="-1.446 2.733 -7.328 -1.683 -7.387 -2.422 -2.701 0.393 0.679" Properties=species:S:1:pos:R:3 pbc="T T T"
Zn -1.992 -5.404 -4.795
Zn -2.319 -2.301 -7.889
Zn -1.138 0.750 -4.956
Zn -0.810 -2.353 -1.861
K 0.000 0.000 0.000
K -1.565 -2.327 -4.875
Pt -2.690 -4.238 -2.424
Pt -3.719 -4.212 -6.528
Pt -3.140 -0.023 -6.647
Pt -2.111 -0.049 -2.543
```

## Properties
* formation enthalpy at 0 K: -0.355 eV per atom
* E above lowest polymorph: 0.00 eV per formula unit
* space group: No. 127


Below is a relaxed structure of KGa3Cl, with properties calculated at the PBE level.

Structure (extended XYZ):
```
5
Lattice="6.109 0.000 0.000 0.000 6.109 0.000 0.000 0.000 6.109" Properties=species:S:1:pos:R:3 pbc="T T T"
K 0.000 0.000 0.000
Ga 0.000 3.054 0.000
Ga 0.000 0.000 3.054
Ga 3.054 0.000 0.000
Cl 3.054 3.054 3.054
```

## Properties
* formation energy from raw total energies: 0.75 eV per atom
* E above lowest polymorph: 3.46 eV per formula unit
* space group: No. 221


Below is a relaxed structure of NaHoPb2Br8, with properties calculated at the PBE level.

Structure (extended XYZ):
```
12
Lattice="7.146 0.025 -0.004 0.051 6.791 -0.008 0.005 0.010 8.905" Properties=species:S:1:pos:R:3 pbc="T T T"
Na 0.003 0.005 4.453
Ho 0.000 0.000 0.000
Pb 3.602 3.415 6.637
Pb 3.600 3.410 2.255
Br 1.119 5.236 2.066
Br 4.888 5.219 8.896
Br 6.080 1.585 2.067
Br 6.082 1.590 6.827
Br 2.314 1.606 -0.003
Br 1.122 5.241 6.825
Br 4.758 5.020 4.444
Br 2.444 1.805 4.449
```

## Properties
* formation energy from raw total energies: -1.32 eV per atom
* space group: No. 10


Below is a relaxed structure of TlFePd6, with properties calculated at the PBE level.

Structure (extended XYZ):
```
8
Lattice="-0.155 1.695 -3.613 3.419 -1.809 -0.995 -4.105 -6.245 -2.754" Properties=species:S:1:pos:R:3 pbc="T T T"
Tl 0.000 0.000 0.000
Fe -2.052 -3.123 -1.377
Pd 1.632 -0.057 -2.304
Pd -0.420 -3.179 -3.681
Pd -1.171 -0.817 -2.540
Pd -3.088 -3.734 -3.826
Pd 0.616 -2.569 -1.231
Pd -1.301 -5.485 -2.517
```

## Properties
* formation enthalpy at 0 K: -0.140 eV per atom
* space group: No. 123


Below is a relaxed structure of CaMg2Ag, with properties calculated at the PBE level.

Structure (extended XYZ):
```
4
Lattice="3.535 0.000 0.000 0.000 3.535 0.000 0.000 0.000 7.816" Properties=species:S:1:pos:R:3 pbc="T T T"
Ca 1.767 1.767 5.644
Mg 0.000 0.000 0.279
Mg 1.767 1.767 2.201
Ag 0.000 0.000 3.600
```

## Properties
* formation enthalpy at 0 K: -0.152 eV per atom
* space group: No. 99


Below is a relaxed structure of TcAgPS2, with properties calculated at the PBE level.

Structure (extended XYZ):
```
5
Lattice="4.711 0.000 0.000 0.000 4.711 0.000 0.000 0.000 4.580" Properties=species:S:1:pos:R:3 pbc="T T T"
P 0.000 0.000 2.290
S 0.000 2.355 0.000
S 2.355 0.000 0.000
Tc 0.000 0.000 0.000
Ag 2.355 2.355 2.290
```

## Properties
* formation energy from raw total energies: 0.49 eV per atom
* E above lowest polymorph: 0.00 eV per formula unit
* space group: No. 123